Entry 1:
Computed, not measured: a relaxed Mg2IrOs crystal at the PBE-GGA level of DFT.

Output
For the final energy, the calculation gives -23.5 eV for the cell shown. Its space-group type is P4mm, No. 99. Its calculated volume is 67.6 Å³/cell. The value obtained for the formation energy is -0.064 eV per atom. As for the density of states at the Fermi level: 0.325 states/eV/atom.

a = 2.824 Å, b = 2.824 Å, c = 8.479 Å
α = 90.00°, β = 90.00°, γ = 90.00°
Fractional positions:
Mg 0.500 0.500 0.286
Mg 0.000 0.000 0.963
Os 0.000 0.000 0.524
Ir 0.500 0.500 0.727



Entry 2:
Computed, not measured: a relaxed CaTb2Er crystal at the PBE-GGA level of DFT.

Output
For the final energy, the calculation gives -15.5 eV for the cell shown. Its space-group type is P4/mmm, No. 123. Its calculated volume is 134.4 Å³/cell. The value obtained for the formation energy is 0.069 eV per atom. As for the density of states at the Fermi level: 1.432 states/eV/atom.

a = 3.601 Å, b = 3.601 Å, c = 10.365 Å
α = 90.00°, β = 90.00°, γ = 90.00°
Fractional positions:
Ca 0.500 0.500 0.500
Er 0.500 0.500 0.000
Tb 0.000 0.000 0.230
Tb 0.000 0.000 0.770



Entry 3:
Computed, not measured: a relaxed Co2GeHRh crystal at the PBE-GGA level of DFT.

Output
For the final energy, the calculation gives -30.2 eV for the cell shown. Its space-group type is P4/mmm, No. 123. Its calculated volume is 51.1 Å³/cell. As for the density of states at the Fermi level: 0.964 states/eV/atom.

a = 3.674 Å, b = 3.674 Å, c = 3.786 Å
α = 90.00°, β = 90.00°, γ = 90.00°
Fractional positions:
Ge 0.500 0.500 0.500
Rh 0.000 0.000 0.500
Co 0.000 0.500 0.000
Co 0.500 0.000 0.000
H 0.000 0.000 0.000



Entry 4:
Computed, not measured: a relaxed Hf2OsRh2 crystal at the PBE-GGA level of DFT.

Output
For the final energy, the calculation gives -96.2 eV for the cell shown. Its space-group type is P4/mbm, No. 127. Its calculated volume is 172.1 Å³/cell. The value obtained for the formation energy is -0.448 eV per atom. As for the density of states at the Fermi level: 0.850 states/eV/atom.

a = 7.111 Å, b = 7.111 Å, c = 3.403 Å
α = 90.00°, β = 90.00°, γ = 90.00°
Fractional positions:
Hf 0.821 0.321 0.500
Hf 0.679 0.821 0.500
Hf 0.321 0.179 0.500
Hf 0.179 0.679 0.500
Rh 0.872 0.628 0.000
Rh 0.128 0.372 0.000
Rh 0.628 0.128 0.000
Rh 0.372 0.872 0.000
Os 0.000 0.000 0.000
Os 0.500 0.500 0.000



Entry 5:
Computed, not measured: a relaxed ZrBi2Pd crystal at the PBE-GGA level of DFT.

Output
For the final energy, the calculation gives -21.9 eV for the cell shown. Its space-group type is Fm-3m, No. 225. Its calculated volume is 94.0 Å³/cell. The value obtained for the formation energy is -0.104 eV per atom. As for the density of states at the Fermi level: 0.445 states/eV/atom.

a = 5.103 Å, b = 5.103 Å, c = 5.103 Å
α = 60.00°, β = 60.00°, γ = 60.00°
Fractional positions:
Bi 0.250 0.250 0.250
Bi 0.750 0.750 0.750
Pd 0.500 0.500 0.500
Zr 0.000 0.000 0.000



Entry 6:
Computed, not measured: a relaxed Th4Ru2SeS crystal at the PBE-GGA level of DFT.

Output
For the final energy, the calculation gives -64.6 eV for the cell shown. The value obtained for the formation energy from raw total energies is -1.0902 eV per atom. Its space-group type is P2/m, No. 10. Its calculated volume is 208.9 Å³/cell. As for the density of states at the Fermi level: 0.330 states/eV/atom.

a = 4.065 Å, b = 7.051 Å, c = 7.661 Å
α = 107.94°, β = 90.00°, γ = 90.00°
Fractional positions:
Th 0.000 0.236 0.717
Th 0.000 0.764 0.283
Th 0.500 0.258 0.280
Th 0.500 0.742 0.720
Ru 0.000 0.500 0.500
Ru 0.500 0.000 0.500
Se 0.500 0.500 0.000
S 0.000 0.000 0.000



Entry 7:
Computed, not measured: a relaxed Ce2Pd3Pt3 crystal at the PBE-GGA level of DFT.

Output
For the final energy, the calculation gives -52.9 eV for the cell shown. Its space-group type is Pmmm, No. 47. Its calculated volume is 144.5 Å³/cell. The value obtained for the formation energy is -0.921 eV per atom. As for the density of states at the Fermi level: 0.999 states/eV/atom.

a = 4.165 Å, b = 4.161 Å, c = 8.339 Å
α = 90.00°, β = 90.00°, γ = 90.00°
Fractional positions:
Pd 0.000 0.500 0.000
Pd 0.000 0.500 0.500
Pd 0.500 0.000 0.500
Pt 0.500 0.500 0.750
Pt 0.500 0.500 0.250
Pt 0.500 0.000 0.000
Ce 0.000 0.000 0.250
Ce 0.000 0.000 0.750



Entry 8:
Computed, not measured: a relaxed SeCl2 crystal at the PBE-GGA level of DFT.

Output
For the final energy, the calculation gives -10.0 eV for the cell shown. The value obtained for the formation energy from raw total energies is 0.7181 eV per atom. Its space-group type is I4_1/amd, No. 141. Its calculated volume is 187.7 Å³/cell. As for the density of states at the Fermi level: 0.338 states/eV/atom.

a = 8.140 Å, b = 8.140 Å, c = 8.140 Å
α = 143.73°, β = 143.73°, γ = 52.23°
Fractional positions:
Cl 0.370 0.370 0.000
Cl 0.380 0.880 0.500
Cl 0.630 0.630 0.000
Cl 0.120 0.620 0.500
Se 0.750 0.250 0.500
Se 0.000 0.000 0.000